Record 1
DFT (GGA-PBE) results for crystalline Sm3ZnAs2Rh9 at its relaxed geometry.

Cell and atoms, written as POSCAR:
```
Sm3ZnAs2Rh9
1.0
-0.563 5.490 -2.900
-5.028 -3.571 0.917
-1.433 4.063 7.969
Rh As Zn Sm
9 2 1 3
direct
0.284 0.142 0.721 Rh
0.716 0.858 0.279 Rh
0.142 0.284 0.279 Rh
0.858 0.142 0.721 Rh
0.858 0.716 0.721 Rh
0.500 0.000 0.000 Rh
0.142 0.858 0.279 Rh
0.500 0.500 0.000 Rh
0.000 0.500 0.000 Rh
0.667 0.333 0.826 As
0.333 0.667 0.174 As
0.000 0.000 0.500 Zn
0.000 0.000 0.000 Sm
0.667 0.333 0.294 Sm
0.333 0.667 0.706 Sm
```

Results
- Energy relative to the elements: -0.36 eV/atom
- Raw total energy: -0.236 hartree per atom

Record 2
DFT (GGA-PBE) results for crystalline Sm2ZrAs3Rh4 at its relaxed geometry.

Cell and atoms, written as POSCAR:
```
Sm2ZrAs3Rh4
1.0
-2.559 -2.969 -1.238
1.803 -2.634 2.590
-7.238 2.906 7.995
Rh As Sm Zr
4 3 2 1
direct
0.000 0.000 0.000 Rh
0.500 0.500 0.000 Rh
0.000 0.500 0.353 Rh
0.500 0.000 0.647 Rh
0.500 0.000 0.866 As
0.000 0.500 0.134 As
0.000 0.000 0.500 As
0.000 0.500 0.776 Sm
0.500 0.000 0.224 Sm
0.500 0.500 0.500 Zr
```

Results
- Energy relative to the elements: -0.96 eV/atom
- Raw total energy: -0.261 hartree per atom

Record 3
DFT (GGA-PBE) results for crystalline SnAsRh3 at its relaxed geometry.

Cell and atoms, written as POSCAR:
```
SnAsRh3
1.0
4.269 0.000 0.000
0.000 5.715 0.000
0.000 0.000 7.333
Rh As Sn
6 2 2
direct
0.000 0.621 0.695 Rh
0.500 0.303 0.838 Rh
0.500 0.803 0.162 Rh
0.000 0.121 0.305 Rh
0.500 0.909 0.544 Rh
0.500 0.409 0.456 Rh
0.500 0.218 0.156 As
0.500 0.718 0.844 As
0.000 0.145 0.668 Sn
0.000 0.645 0.332 Sn
```

Results
- Energy above the most stable polymorph in this dataset: 0.00 kJ/mol of atoms
- Energy relative to the elements: -0.34 eV/atom
- Raw total energy: -0.238 hartree per atom

Record 4
DFT (GGA-PBE) results for crystalline SnAsRh2 at its relaxed geometry.

Cell and atoms, written as POSCAR:
```
SnAsRh2
1.0
-2.599 -2.357 -1.895
0.136 -3.950 0.531
-4.121 -1.679 3.545
Sn Rh As
1 2 1
direct
0.495 0.495 0.514 Sn
0.270 0.270 0.190 Rh
0.060 0.060 0.819 Rh
0.674 0.674 0.978 As
```

Results
- Energy above the most stable polymorph in this dataset: 24.46 kJ/mol of atoms
- Energy relative to the elements: -0.30 eV/atom
- Raw total energy: -0.225 hartree per atom

Record 5
DFT (GGA-PBE) results for crystalline Sn2As2Rh at its relaxed geometry.

Cell and atoms, written as POSCAR:
```
Sn2As2Rh
1.0
6.269 0.000 0.000
0.000 6.269 0.000
0.000 0.000 5.775
Sn As Rh
4 4 2
direct
0.309 0.809 0.500 Sn
0.191 0.309 0.500 Sn
0.809 0.691 0.500 Sn
0.691 0.191 0.500 Sn
0.638 0.138 0.000 As
0.862 0.638 0.000 As
0.138 0.362 0.000 As
0.362 0.862 0.000 As
0.000 0.000 0.000 Rh
0.500 0.500 0.000 Rh
```

Results
- Energy relative to the elements: -0.11 eV/atom
- Raw total energy: -0.185 hartree per atom

Record 6
DFT (GGA-PBE) results for crystalline SnAsRh2 at its relaxed geometry.

Cell and atoms, written as POSCAR:
```
SnAsRh2
1.0
-0.342 -1.776 4.157
-3.652 0.867 2.542
-3.020 -3.280 0.822
Rh As Sn
2 1 1
direct
0.250 0.250 0.250 Rh
0.750 0.750 0.750 Rh
0.000 0.000 0.000 As
0.500 0.500 0.500 Sn
```

Results
- Energy above the most stable polymorph in this dataset: 35.67 kJ/mol of atoms
- Energy relative to the elements: -0.18 eV/atom
- Raw total energy: -0.221 hartree per atom

Record 7
DFT (GGA-PBE) results for crystalline SnAsRh3 at its relaxed geometry.

Cell and atoms, written as POSCAR:
```
SnAsRh3
1.0
-4.490 1.449 1.057
-1.478 -4.603 0.030
1.015 -0.295 4.718
Rh Sn As
3 1 1
direct
0.500 0.000 0.000 Rh
0.000 0.000 0.500 Rh
0.000 0.500 0.000 Rh
0.000 0.000 0.000 Sn
0.500 0.500 0.500 As
```

Results
- Energy above the most stable polymorph in this dataset: 143.17 kJ/mol of atoms
- Energy relative to the elements: 1.15 eV/atom
- Raw total energy: -0.184 hartree per atom

Record 8
DFT (GGA-PBE) results for crystalline SnAs2Rh at its relaxed geometry.

Cell and atoms, written as POSCAR:
```
SnAs2Rh
1.0
-4.509 2.385 -2.820
-1.394 -5.220 -2.186
-6.478 -2.466 2.249
As Rh Sn
4 2 2
direct
0.375 0.428 0.750 As
0.875 0.822 0.750 As
0.178 0.625 0.250 As
0.572 0.125 0.250 As
0.500 0.500 0.000 Rh
0.250 0.750 0.500 Rh
0.750 0.250 0.500 Sn
0.000 0.000 0.000 Sn
```

Results
- Energy relative to the elements: -0.10 eV/atom
- Raw total energy: -0.193 hartree per atom

Record 9
DFT (GGA-PBE) results for crystalline SnAsRh3 at its relaxed geometry.

Cell and atoms, written as POSCAR:
```
SnAsRh3
1.0
-1.160 -3.778 2.311
-0.600 -2.232 -3.952
4.388 -1.304 0.070
Rh Sn As
3 1 1
direct
0.500 0.000 0.000 Rh
0.000 0.000 0.500 Rh
0.000 0.500 0.000 Rh
0.500 0.500 0.500 Sn
0.000 0.000 0.000 As
```

Results
- Energy above the most stable polymorph in this dataset: 56.10 kJ/mol of atoms
- Energy relative to the elements: 0.24 eV/atom
- Raw total energy: -0.217 hartree per atom

Record 10
DFT (GGA-PBE) results for crystalline SnAsRh3 at its relaxed geometry.

Cell and atoms, written as POSCAR:
```
SnAsRh3
1.0
4.347 0.000 0.000
0.000 5.702 0.000
0.000 -2.851 7.397
Rh As Sn
6 2 2
direct
0.000 0.813 0.626 Rh
0.500 0.272 0.000 Rh
0.500 0.728 0.000 Rh
0.500 0.000 0.500 Rh
0.000 0.187 0.374 Rh
0.500 0.500 0.500 Rh
0.500 0.883 0.766 As
0.500 0.117 0.234 As
0.000 0.374 0.748 Sn
0.000 0.626 0.252 Sn
```

Results
- Energy above the most stable polymorph in this dataset: 21.40 kJ/mol of atoms
- Energy relative to the elements: -0.12 eV/atom
- Raw total energy: -0.230 hartree per atom

Record 11
DFT (GGA-PBE) results for crystalline SnAsRh4 at its relaxed geometry.

Cell and atoms, written as POSCAR:
```
SnAsRh4
1.0
3.805 0.000 0.000
0.000 6.633 0.000
0.000 0.000 15.111
Rh As Sn
16 4 4
direct
0.750 0.878 0.642 Rh
0.750 0.355 0.056 Rh
0.750 0.996 0.937 Rh
0.750 0.378 0.858 Rh
0.750 0.855 0.444 Rh
0.250 0.554 0.706 Rh
0.750 0.946 0.206 Rh
0.250 0.645 0.944 Rh
0.750 0.496 0.563 Rh
0.250 0.054 0.794 Rh
0.250 0.504 0.437 Rh
0.750 0.446 0.294 Rh
0.250 0.122 0.358 Rh
0.250 0.145 0.556 Rh
0.250 0.004 0.063 Rh
0.250 0.622 0.142 Rh
0.750 0.744 0.058 As
0.250 0.756 0.558 As
0.250 0.256 0.942 As
0.750 0.244 0.442 As
0.750 0.750 0.806 Sn
0.250 0.750 0.306 Sn
0.750 0.250 0.694 Sn
0.250 0.250 0.194 Sn
```

Results
- Energy relative to the elements: -0.29 eV/atom
- Raw total energy: -0.244 hartree per atom

Record 12
DFT (GGA-PBE) results for crystalline SnAs3Rh at its relaxed geometry.

Cell and atoms, written as POSCAR:
```
SnAs3Rh
1.0
-4.770 0.882 -0.332
-0.850 -3.289 3.480
0.407 3.472 3.381
As Rh Sn
3 1 1
direct
0.000 0.000 0.500 As
0.500 0.000 0.000 As
0.000 0.500 0.000 As
0.000 0.000 0.000 Rh
0.500 0.500 0.500 Sn
```

Results
- Energy above the most stable polymorph in this dataset: 0.00 kJ/mol of atoms
- Energy relative to the elements: 0.38 eV/atom
- Raw total energy: -0.172 hartree per atom

Record 13
DFT (GGA-PBE) results for crystalline Sn3As2Rh7 at its relaxed geometry.

Cell and atoms, written as POSCAR:
```
Sn3As2Rh7
1.0
3.854 0.000 0.000
0.000 3.989 0.000
0.000 -1.994 13.928
Rh As Sn
7 2 3
direct
0.500 0.929 0.858 Rh
0.500 0.071 0.142 Rh
0.000 0.787 0.575 Rh
0.000 0.572 0.144 Rh
0.000 0.000 0.000 Rh
0.000 0.213 0.425 Rh
0.000 0.428 0.856 Rh
0.000 0.125 0.250 As
0.000 0.875 0.750 As
0.500 0.295 0.591 Sn
0.500 0.705 0.409 Sn
0.500 0.500 0.000 Sn
```

Results
- Energy relative to the elements: -0.30 eV/atom
- Raw total energy: -0.234 hartree per atom

Record 14
DFT (GGA-PBE) results for crystalline SnAsRh2 at its relaxed geometry.

Cell and atoms, written as POSCAR:
```
SnAsRh2
1.0
4.245 0.000 0.000
0.000 4.245 0.000
2.122 2.122 8.269
Rh As Sn
4 2 2
direct
0.375 0.411 0.750 Rh
0.875 0.839 0.750 Rh
0.161 0.625 0.250 Rh
0.589 0.125 0.250 Rh
0.500 0.500 0.000 As
0.250 0.750 0.500 As
0.750 0.250 0.500 Sn
0.000 0.000 0.000 Sn
```

Results
- Energy above the most stable polymorph in this dataset: 37.77 kJ/mol of atoms
- Energy relative to the elements: -0.16 eV/atom
- Raw total energy: -0.220 hartree per atom

Record 15
DFT (GGA-PBE) results for crystalline SnAsRh2 at its relaxed geometry.

Cell and atoms, written as POSCAR:
```
SnAsRh2
1.0
-4.149 -3.548 1.779
4.391 -3.536 3.190
-1.023 4.192 6.055
Sn Rh As
4 8 4
direct
0.707 0.101 0.117 Sn
0.793 0.601 0.883 Sn
0.293 0.899 0.883 Sn
0.207 0.399 0.117 Sn
0.496 0.298 0.401 Rh
0.996 0.202 0.401 Rh
0.004 0.792 0.164 Rh
0.504 0.708 0.164 Rh
0.496 0.292 0.836 Rh
0.504 0.702 0.599 Rh
0.004 0.798 0.599 Rh
0.996 0.208 0.836 Rh
0.307 0.937 0.377 As
0.193 0.437 0.623 As
0.807 0.563 0.377 As
0.693 0.063 0.623 As
```

Results
- Energy above the most stable polymorph in this dataset: 0.00 kJ/mol of atoms
- Energy relative to the elements: -0.55 eV/atom
- Raw total energy: -0.235 hartree per atom

Record 16
DFT (GGA-PBE) results for crystalline SnAs2Rh at its relaxed geometry.

Cell and atoms, written as POSCAR:
```
SnAs2Rh
1.0
-1.184 -3.380 0.136
0.750 -2.048 2.843
-7.143 0.792 4.714
As Rh Sn
2 1 1
direct
0.907 0.907 0.280 As
0.093 0.093 0.720 As
0.000 0.000 0.000 Rh
0.500 0.500 0.500 Sn
```

Results
- Energy relative to the elements: 0.49 eV/atom
- Raw total energy: -0.172 hartree per atom

Record 17
DFT (GGA-PBE) results for crystalline SrSn2AsRh at its relaxed geometry.

Cell and atoms, written as POSCAR:
```
SrSn2AsRh
1.0
-1.883 -2.647 4.491
-2.655 -3.623 -3.248
3.749 -2.719 -0.031
Sn Sr Rh As
2 1 1 1
direct
0.000 0.500 0.000 Sn
0.500 0.000 0.000 Sn
0.500 0.500 0.500 Sr
0.000 0.000 0.500 Rh
0.000 0.000 0.000 As
```

Results
- Energy relative to the elements: -0.03 eV/atom
- Raw total energy: -0.160 hartree per atom

Record 18
DFT (GGA-PBE) results for crystalline Sr2Sn3AsRh4 at its relaxed geometry.

Cell and atoms, written as POSCAR:
```
Sr2Sn3AsRh4
1.0
-3.980 -2.181 0.506
1.055 -0.916 4.348
-4.546 8.992 2.997
As Sn Rh Sr
1 3 4 2
direct
0.500 0.500 0.500 As
0.000 0.000 0.500 Sn
0.500 0.000 0.871 Sn
0.000 0.500 0.129 Sn
0.000 0.000 0.000 Rh
0.500 0.000 0.618 Rh
0.000 0.500 0.382 Rh
0.500 0.500 0.000 Rh
0.500 0.000 0.254 Sr
0.000 0.500 0.746 Sr
```

Results
- Energy relative to the elements: -0.64 eV/atom
- Raw total energy: -0.205 hartree per atom

Record 19
DFT (GGA-PBE) results for crystalline SrSnAsRh3 at its relaxed geometry.

Cell and atoms, written as POSCAR:
```
SrSnAsRh3
1.0
-0.584 0.859 -5.828
1.554 -5.608 -0.982
-8.239 0.661 0.923
Rh Sn Sr As
6 2 2 2
direct
0.250 0.233 0.465 Rh
0.500 0.756 0.000 Rh
0.000 0.756 0.000 Rh
0.500 0.244 0.000 Rh
0.750 0.767 0.535 Rh
0.000 0.244 0.000 Rh
0.250 0.398 0.797 Sn
0.750 0.602 0.203 Sn
0.750 0.260 0.521 Sr
0.250 0.740 0.479 Sr
0.750 0.919 0.838 As
0.250 0.081 0.162 As
```

Results
- Energy relative to the elements: -0.49 eV/atom
- Raw total energy: -0.216 hartree per atom

Record 20
DFT (GGA-PBE) results for crystalline Sr2SnAsRh6 at its relaxed geometry.

Cell and atoms, written as POSCAR:
```
Sr2SnAsRh6
1.0
6.777 0.000 0.003
0.000 6.780 0.003
3.391 3.393 4.797
Rh Sr As Sn
6 2 1 1
direct
0.261 0.739 0.000 Rh
0.739 0.261 0.000 Rh
0.261 0.261 0.477 Rh
0.261 0.261 0.000 Rh
0.739 0.739 0.000 Rh
0.739 0.739 0.523 Rh
0.250 0.750 0.500 Sr
0.750 0.250 0.500 Sr
0.500 0.500 0.000 As
0.000 0.000 0.000 Sn
```

Results
- Energy relative to the elements: -0.03 eV/atom
- Raw total energy: -0.207 hartree per atom

Record 21
DFT (GGA-PBE) results for crystalline Sr2SnAs3Rh4 at its relaxed geometry.

Cell and atoms, written as POSCAR:
```
Sr2SnAs3Rh4
1.0
4.318 0.000 0.000
0.000 4.318 0.000
0.000 0.000 10.643
Rh Sn As Sr
4 1 3 2
direct
0.000 0.000 0.000 Rh
0.500 0.500 0.000 Rh
0.500 0.000 0.641 Rh
0.000 0.500 0.359 Rh
0.500 0.500 0.500 Sn
0.000 0.000 0.500 As
0.000 0.500 0.128 As
0.500 0.000 0.872 As
0.500 0.000 0.245 Sr
0.000 0.500 0.755 Sr
```

Results
- Energy relative to the elements: -0.72 eV/atom
- Raw total energy: -0.213 hartree per atom

Record 22
DFT (GGA-PBE) results for crystalline TaSnAsRh2 at its relaxed geometry.

Cell and atoms, written as POSCAR:
```
TaSnAsRh2
1.0
-2.955 0.776 -3.717
2.938 -2.738 -2.907
-2.508 -3.935 1.172
Rh Ta Sn As
2 1 1 1
direct
0.000 0.000 0.500 Rh
0.500 0.000 0.000 Rh
0.000 0.000 0.000 Ta
0.500 0.500 0.500 Sn
0.000 0.500 0.000 As
```

Results
- Energy above the most stable polymorph in this dataset: 0.00 kJ/mol of atoms
- Energy relative to the elements: 0.61 eV/atom
- Raw total energy: -0.236 hartree per atom

Record 23
DFT (GGA-PBE) results for crystalline TaSnAsRh2 at its relaxed geometry.

Cell and atoms, written as POSCAR:
```
TaSnAsRh2
1.0
4.451 0.000 0.000
0.000 5.302 0.000
0.000 0.000 4.451
Rh Ta Sn As
2 1 1 1
direct
0.000 0.000 0.500 Rh
0.500 0.000 0.000 Rh
0.500 0.500 0.500 Ta
0.000 0.500 0.000 Sn
0.000 0.000 0.000 As
```

Results
- Energy above the most stable polymorph in this dataset: 26.24 kJ/mol of atoms
- Energy relative to the elements: 0.88 eV/atom
- Raw total energy: -0.226 hartree per atom

Q: Which size of the total moment values were calculated for the entries above? A: 0.0; 0.0; 0.0; 0.0; 0.0; 0.0; 1.1; 0.0; 0.0; 0.0; 0.0; 0.0; 0.0; 0.0; 0.0; 0.0; 0.0; 0.0; 0.0; 0.0; 0.0; 0.0; 0.0, in μB per cell.
Q: Which calculated volume values were calculated for the entries above? A: 20.3; 18.9; 17.9; 17.9; 22.7; 16.5; 22.6; 25.5; 19.2; 18.3; 15.9; 23.0; 17.8; 18.6; 17.3; 23.2; 28.5; 21.9; 22.6; 22.0; 19.8; 23.0; 21.0, in Å³ per atom.